A relaxed structure of K2AlV. Source: Alexandria, functional PBE-GGA.

```
K2AlV
1.0
-0.824 8.886 -3.441
-4.578 2.660 7.965
-0.126 6.492 3.502
Al K V
2 4 2
direct
0.500 0.500 0.000
0.250 0.750 0.500
0.623 0.125 0.250
0.375 0.377 0.750
0.875 0.873 0.750
0.127 0.625 0.250
0.750 0.250 0.500
0.000 0.000 0.000
```

Output
Symmetry   I-42d
Total moment   8.4 Bohr magnetons per cell
Density of states at the Fermi level   7.77 states/eV per cell
Formation energy from the elements   1022 meV per atom

---

A relaxed structure of KAlV3. Source: Alexandria, functional PBE-GGA.

```
KAlV3
1.0
-1.228 4.008 -0.948
-4.072 -1.331 -0.354
-0.623 0.797 4.177
Al V K
1 3 1
direct
0.500 0.500 0.500
0.000 0.000 0.500
0.500 0.000 0.000
0.000 0.500 0.000
0.000 0.000 0.000
```

Output
Excess energy over the best structure of this formula in the dataset   4.372 eV/f.u.
Symmetry   Pm-3m
Total moment   0.0 Bohr magnetons per cell
Density of states at the Fermi level   4.01 states/eV per cell
Formation energy from the elements   2256 meV per atom

---

A relaxed structure of KAlV3. Source: Alexandria, functional PBE-GGA.

```
KAlV3
1.0
5.083 0.000 0.000
0.000 5.083 0.000
0.000 0.000 5.083
V Al K
3 1 1
direct
0.000 0.000 0.500
0.500 0.000 0.000
0.000 0.500 0.000
0.000 0.000 0.000
0.500 0.500 0.500
```

Output
Excess energy over the best structure of this formula in the dataset   0.000 eV/f.u.
Symmetry   Pm-3m
Total moment   11.0 Bohr magnetons per cell
Density of states at the Fermi level   9.43 states/eV per cell
Formation energy from the elements   1382 meV per atom

---

A relaxed structure of K2AlV4. Source: Alexandria, functional PBE-GGA.

```
K2AlV4
1.0
-2.120 4.600 0.190
-0.994 -0.661 4.926
6.043 5.390 4.551
V K Al
4 2 1
direct
0.854 0.854 0.292
0.500 0.000 0.000
0.000 0.500 0.000
0.146 0.146 0.708
0.645 0.645 0.710
0.355 0.355 0.290
0.000 0.000 0.000
```

Output
Symmetry   I4/mmm
Total moment   15.3 Bohr magnetons per cell
Density of states at the Fermi level   7.98 states/eV per cell
Formation energy from the elements   1550 meV per atom

---

A relaxed structure of K3AlV. Source: Alexandria, functional PBE-GGA.

```
K3AlV
1.0
6.546 0.000 0.000
0.000 6.546 0.000
0.000 0.000 6.546
K V Al
3 1 1
direct
0.000 0.500 0.000
0.500 0.000 0.000
0.000 0.000 0.500
0.500 0.500 0.500
0.000 0.000 0.000
```

Output
Excess energy over the best structure of this formula in the dataset   0.000 eV/f.u.
Symmetry   Pm-3m
Total moment   3.8 Bohr magnetons per cell
Density of states at the Fermi level   13.07 states/eV per cell
Formation energy from the elements   1162 meV per atom

---

A relaxed structure of KAlW2. Source: Alexandria, functional PBE-GGA.

```
KAlW2
1.0
-4.222 -0.014 1.820
-1.765 -1.089 -4.103
-2.060 -9.960 0.954
W Al K
4 2 2
direct
0.463 0.125 0.250
0.375 0.537 0.750
0.875 0.713 0.750
0.287 0.625 0.250
0.250 0.750 0.500
0.500 0.500 0.000
0.000 0.000 0.000
0.750 0.250 0.500
```

Output
Symmetry   I-42d
Total moment   0.0 Bohr magnetons per cell
Density of states at the Fermi level   7.18 states/eV per cell
Formation energy from the elements   1616 meV per atom

---

A relaxed structure of KAlW2. Source: Alexandria, functional PBE-GGA.

```
KAlW2
1.0
-1.378 -5.355 -0.948
3.229 -3.178 -3.309
0.589 3.482 4.359
W Al K
2 1 1
direct
0.000 0.000 0.000
0.500 0.500 0.000
0.250 0.750 0.500
0.750 0.250 0.500
```

Output
Symmetry   I4/mmm
Total moment   0.0 Bohr magnetons per cell
Density of states at the Fermi level   2.36 states/eV per cell
Formation energy from the elements   1574 meV per atom

---

A relaxed structure of KAl2W. Source: Alexandria, functional PBE-GGA.

```
KAl2W
1.0
7.821 0.012 0.034
-3.404 3.870 -0.015
1.013 0.896 2.480
W Al K
1 2 1
direct
0.500 0.500 0.000
0.500 0.000 0.500
0.000 0.000 0.000
0.000 0.500 0.500
```

Output
Excess energy over the best structure of this formula in the dataset   1.676 eV/f.u.
Symmetry   C2/m
Total moment   0.0 Bohr magnetons per cell
Density of states at the Fermi level   2.29 states/eV per cell
Formation energy from the elements   745 meV per atom

---

A relaxed structure of KAl2W. Source: Alexandria, functional PBE-GGA.

```
KAl2W
1.0
-0.147 -10.515 1.691
1.423 -9.752 4.040
-1.500 -9.694 4.152
K Al W
1 2 1
direct
0.500 0.500 0.500
0.262 0.262 0.262
0.001 0.001 0.001
0.736 0.736 0.736
```

Output
Excess energy over the best structure of this formula in the dataset   1.004 eV/f.u.
Symmetry   R3m
Total moment   0.0 Bohr magnetons per cell
Density of states at the Fermi level   3.01 states/eV per cell
Formation energy from the elements   577 meV per atom

---

A relaxed structure of KAl2W. Source: Alexandria, functional PBE-GGA.

```
KAl2W
1.0
2.816 0.029 0.000
-0.032 2.816 0.000
0.000 0.000 10.032
Al W K
2 1 1
direct
0.500 0.500 0.201
0.000 0.000 0.995
0.500 0.500 0.802
0.000 0.000 0.501
```

Output
Excess energy over the best structure of this formula in the dataset   0.856 eV/f.u.
Symmetry   P4mm
Total moment   0.0 Bohr magnetons per cell
Density of states at the Fermi level   1.86 states/eV per cell
Formation energy from the elements   540 meV per atom

---

A relaxed structure of KAlW2. Source: Alexandria, functional PBE-GGA.

```
KAlW2
1.0
5.752 0.017 0.000
-2.996 4.910 0.000
0.000 0.000 2.681
Al K W
1 1 2
direct
0.500 0.000 0.500
0.000 0.500 0.500
0.500 0.500 0.000
0.000 0.000 0.000
```

Output
Symmetry   Cmmm
Total moment   0.0 Bohr magnetons per cell
Density of states at the Fermi level   3.92 states/eV per cell
Formation energy from the elements   1390 meV per atom

---

A relaxed structure of KAl2W. Source: Alexandria, functional PBE-GGA.

```
KAl2W
1.0
2.962 -0.861 3.710
-1.805 -1.362 4.262
0.656 -4.517 1.565
Al W K
2 1 1
direct
0.750 0.750 0.750
0.250 0.250 0.250
0.500 0.500 0.500
0.000 0.000 0.000
```

Output
Excess energy over the best structure of this formula in the dataset   2.812 eV/f.u.
Symmetry   Fm-3m
Total moment   1.2 Bohr magnetons per cell
Density of states at the Fermi level   3.52 states/eV per cell
Formation energy from the elements   1029 meV per atom